First-principles (GGA+U) data for a geometry-optimized MnInO2 structure, as listed in Alexandria via LeMat-Bulk.

Cell lengths 6.151, 6.151, 6.151 Å; angles 131.50, 131.50, 71.01 degrees
Fractional coordinates of all 8 atoms:
Mn 0.000 0.000 0.000
Mn 0.750 0.250 0.500
In 0.250 0.750 0.500
In 0.500 0.500 0.000
O 0.107 0.625 0.982
O 0.375 0.357 0.482
O 0.643 0.125 0.018
O 0.875 0.893 0.518

Total energy ... -6.32 eV per atom
Size of the total moment ... 1.250 μB per atom
Space-group type ... I-42d, No. 122